1.
The following is a PBE calculation of a geometry-optimized KSc structure, from Alexandria via LeMat-Bulk.

Output
Crystal system: cubic
DOS(E_F), states/eV/f.u.: 2.53
Calculated formation energy, meV per atom: 1347
Energy, eV per cell: -18.9

Cell: 6.829 6.829 6.829 Å, 90.00 90.00 90.00°
Space group Fm-3m (No. 225)
Asymmetric unit:
K: 0.000 0.000 0.000 [4 per cell]
Sc: 0.000 0.000 0.500 [4 per cell]

=====

2.
The following is a PBE calculation of a geometry-optimized KSc5 structure, from Alexandria via LeMat-Bulk.

Output
Crystal system: tetragonal
DOS(E_F), states/eV/f.u.: 10.16
Energy above the lowest structure with this stoichiometry, eV/f.u.: 0.000
Calculated formation energy, meV per atom: 237
Energy, eV per cell: -31.3

Cell: 3.351 3.351 15.391 Å, 90.00 90.00 90.00°
Space group P4/mmm (No. 123)
Asymmetric unit:
K: 0.000 0.000 0.000 [1 per cell]
Sc: 0.000 0.000 0.354 [2 per cell]
Sc: 0.500 0.500 0.218 [2 per cell]
Sc: 0.500 0.500 0.500 [1 per cell]

=====

3.
The following is a PBE calculation of a geometry-optimized KSc3 structure, from Alexandria via LeMat-Bulk.

Output
Crystal system: hexagonal
DOS(E_F), states/eV/f.u.: 7.40
Calculated formation energy, meV per atom: 306
Energy, eV per cell: -18.9

Cell: 3.3715 3.3715 12.1306 Å, 90.00 90.00 120.00°
Space group P-6m2 (No. 187)
Asymmetric unit:
K: 0.0000 0.0000 0.0000 [1 per cell]
Sc: 0.0000 0.0000 0.5000 [1 per cell]
Sc: 0.6667 0.3333 0.2937 [2 per cell]

=====

4.
The following is a PBE calculation of a geometry-optimized KSc structure, from Alexandria via LeMat-Bulk.

Output
Crystal system: cubic
DOS(E_F), states/eV/f.u.: 7.83
Calculated formation energy, meV per atom: 1796
Energy, eV per cell: -15.3

Cell: 8.575 8.575 8.575 Å, 90.00 90.00 90.00°
Space group F-43m (No. 216)
Asymmetric unit:
K: 0.000 0.000 0.000 [4 per cell]
Sc: 0.250 0.250 0.750 [4 per cell]

=====

5.
The following is a PBE calculation of a geometry-optimized KSc2 structure, from Alexandria via LeMat-Bulk.

Output
Crystal system: hexagonal
DOS(E_F), states/eV/f.u.: 6.06
Calculated formation energy, meV per atom: 714
Energy, eV per cell: -34.9

Cell: 10.1118 10.1118 3.1580 Å, 90.00 90.00 120.00°
Space group P-62m (No. 189)
Asymmetric unit:
K: 0.0000 0.0000 0.0000 [1 per cell]
K: 0.3333 0.6667 0.5000 [2 per cell]
Sc: 0.0000 0.3294 0.5000 [3 per cell]
Sc: 0.0000 0.6621 0.0000 [3 per cell]

=====

6.
The following is a PBE calculation of a geometry-optimized K3Sc structure, from Alexandria via LeMat-Bulk.

Output
Crystal system: cubic
DOS(E_F), states/eV/f.u.: 7.08
Energy above the lowest structure with this stoichiometry, eV/f.u.: 1.789
Calculated formation energy, meV per atom: 911
Energy, eV per cell: -6.0

Cell: 7.592 7.592 7.592 Å, 90.00 90.00 90.00°
Space group Pm-3m (No. 221)
Asymmetric unit:
K: 0.000 0.000 0.500 [3 per cell]
Sc: 0.000 0.000 0.000 [1 per cell]

=====

7.
The following is a PBE calculation of a geometry-optimized KSc4 structure, from Alexandria via LeMat-Bulk.

Output
Crystal system: cubic
DOS(E_F), states/eV/f.u.: 4.70
Energy above the lowest structure with this stoichiometry, eV/f.u.: 0.000
Calculated formation energy, meV per atom: 1191
Energy, eV per cell: -20.5

Cell: 5.027 5.027 5.027 Å, 90.00 90.00 90.00°
Space group Pm-3m (No. 221)
Asymmetric unit:
K: 0.000 0.000 0.000 [1 per cell]
Sc: 0.000 0.000 0.500 [3 per cell]
Sc: 0.500 0.500 0.500 [1 per cell]

=====

8.
The following is a PBE calculation of a geometry-optimized KSc structure, from Alexandria via LeMat-Bulk.

Output
Crystal system: hexagonal
DOS(E_F), states/eV/f.u.: 5.46
Calculated formation energy, meV per atom: 856
Energy, eV per cell: -22.9

Cell: 5.5466 5.5466 13.5181 Å, 90.00 90.00 120.00°
Space group P6_3/mmc (No. 194)
Asymmetric unit:
K: 0.3333 0.6667 0.0795 [4 per cell]
Sc: 0.0000 0.0000 0.2500 [2 per cell]
Sc: 0.3333 0.6667 0.7500 [2 per cell]

=====

9.
The following is a PBE calculation of a geometry-optimized KSc structure, from Alexandria via LeMat-Bulk.

Output
Crystal system: trigonal
DOS(E_F), states/eV/f.u.: 3.88
Calculated formation energy, meV per atom: 667
Energy, eV per cell: -18.3

Cell: 3.4688 3.4688 20.5678 Å, 90.00 90.00 120.00°
Space group R-3m (No. 166, hexagonal axes)
Asymmetric unit:
K: 0.0000 0.0000 0.0000 [3 per cell]
Sc: 0.0000 0.0000 0.5000 [3 per cell]

=====

10.
The following is a PBE calculation of a geometry-optimized KSc3 structure, from Alexandria via LeMat-Bulk.

Output
Crystal system: tetragonal
DOS(E_F), states/eV/f.u.: 6.15
Calculated formation energy, meV per atom: 332
Energy, eV per cell: -18.8

Cell: 3.637 3.637 9.757 Å, 90.00 90.00 90.00°
Space group P4/mmm (No. 123)
Asymmetric unit:
K: 0.000 0.000 0.000 [1 per cell]
Sc: 0.000 0.000 0.500 [1 per cell]
Sc: 0.500 0.500 0.323 [2 per cell]

=====

11.
The following is a PBE calculation of a geometry-optimized KSc structure, from Alexandria via LeMat-Bulk.

Output
Crystal system: trigonal
DOS(E_F), states/eV/f.u.: 2.85
Calculated formation energy, meV per atom: 421
Energy, eV per cell: -13.2

Cell: 3.6061 3.6061 13.4050 Å, 90.00 90.00 120.00°
Space group P-3m1 (No. 164)
Asymmetric unit:
K: 0.3333 0.6667 0.1558 [2 per cell]
Sc: 0.3333 0.6667 0.5890 [2 per cell]

=====

12.
The following is a PBE calculation of a geometry-optimized KSc structure, from Alexandria via LeMat-Bulk.

Output
Crystal system: monoclinic
DOS(E_F), states/eV/f.u.: 2.65
Calculated formation energy, meV per atom: 664
Energy, eV per cell: -24.4

Cell: 13.101 3.469 7.277 Å, 90.00 112.68 90.00°
Space group C2/m (No. 12)
Asymmetric unit:
K: 0.118 0.000 0.451 [4 per cell]
Sc: 0.146 0.500 0.984 [4 per cell]

=====

13.
The following is a PBE calculation of a geometry-optimized K2Sc structure, from Alexandria via LeMat-Bulk.

Output
Crystal system: hexagonal
DOS(E_F), states/eV/f.u.: 4.66
Energy above the lowest structure with this stoichiometry, eV/f.u.: 1.005
Calculated formation energy, meV per atom: 807
Energy, eV per cell: -12.2

Cell: 6.6908 6.6908 7.7157 Å, 90.00 90.00 120.00°
Space group P6_3/mmc (No. 194)
Asymmetric unit:
K: 0.0000 0.0000 0.0000 [2 per cell]
K: 0.3333 0.6667 0.2500 [2 per cell]
Sc: 0.3333 0.6667 0.7500 [2 per cell]

=====

14.
The following is a PBE calculation of a geometry-optimized KSc4 structure, from Alexandria via LeMat-Bulk.

Output
Crystal system: cubic
DOS(E_F), states/eV/f.u.: 9.71
Energy above the lowest structure with this stoichiometry, eV/f.u.: 1.447
Calculated formation energy, meV per atom: 1480
Energy, eV per cell: -38.0

Cell: 6.893 6.893 6.893 Å, 90.00 90.00 90.00°
Space group Im-3m (No. 229)
Asymmetric unit:
K: 0.000 0.000 0.000 [2 per cell]
Sc: 0.250 0.250 0.250 [8 per cell]

=====

15.
The following is a PBE calculation of a geometry-optimized KSc structure, from Alexandria via LeMat-Bulk.

Output
Crystal system: orthorhombic
DOS(E_F), states/eV/f.u.: 2.98
Calculated formation energy, meV per atom: 400
Energy, eV per cell: -39.8

Cell: 5.096 3.474 29.683 Å, 90.00 90.00 90.00°
Space group Amm2 (No. 38)
Asymmetric unit:
K: 0.000 0.000 0.000 [2 per cell]
K: 0.000 0.000 0.265 [2 per cell]
K: 0.500 0.000 0.884 [2 per cell]
Sc: 0.000 0.000 0.634 [2 per cell]
Sc: 0.500 0.000 0.168 [2 per cell]
Sc: 0.500 0.000 0.581 [2 per cell]

=====

16.
The following is a PBE calculation of a geometry-optimized KSc structure, from Alexandria via LeMat-Bulk.

Output
Crystal system: cubic
DOS(E_F), states/eV/f.u.: 5.17
Calculated formation energy, meV per atom: 1780
Energy, eV per cell: -23.2

Cell: 10.716 10.716 10.716 Å, 90.00 90.00 90.00°
Space group Pm-3n (No. 223)
Asymmetric unit:
K: 0.000 0.250 0.500 [6 per cell]
Sc: 0.000 0.500 0.250 [6 per cell]

=====

17.
The following is a PBE calculation of a geometry-optimized K2Sc structure, from Alexandria via LeMat-Bulk.

Output
Crystal system: cubic
DOS(E_F), states/eV/f.u.: 9.57
Energy above the lowest structure with this stoichiometry, eV/f.u.: 1.560
Calculated formation energy, meV per atom: 992
Energy, eV per cell: -22.2

Cell: 9.208 9.208 9.208 Å, 90.00 90.00 90.00°
Space group Fm-3m (No. 225)
Asymmetric unit:
K: 0.250 0.250 0.250 [8 per cell]
Sc: 0.000 0.000 0.000 [4 per cell]

=====

18.
The following is a PBE calculation of a geometry-optimized KSc structure, from Alexandria via LeMat-Bulk.

Output
Crystal system: orthorhombic
DOS(E_F), states/eV/f.u.: 3.80
Calculated formation energy, meV per atom: 671
Energy, eV per cell: -12.2

Cell: 3.553 5.868 6.861 Å, 90.00 90.00 90.00°
Space group Cmmm (No. 65)
Asymmetric unit:
K: 0.000 0.000 0.000 [2 per cell]
Sc: 0.000 0.500 0.500 [2 per cell]

=====

19.
The following is a PBE calculation of a geometry-optimized KSc3 structure, from Alexandria via LeMat-Bulk.

Output
Crystal system: orthorhombic
DOS(E_F), states/eV/f.u.: 6.39
Calculated formation energy, meV per atom: 616
Energy, eV per cell: -35.3

Cell: 6.937 10.323 3.267 Å, 90.00 90.00 90.00°
Space group Cmmm (No. 65)
Asymmetric unit:
K: 0.000 0.000 0.000 [2 per cell]
Sc: 0.000 0.500 0.000 [2 per cell]
Sc: 0.250 0.250 0.500 [4 per cell]

=====

20.
The following is a PBE calculation of a geometry-optimized K5Sc structure, from Alexandria via LeMat-Bulk.

Output
Crystal system: monoclinic
DOS(E_F), states/eV/f.u.: 6.87
Energy above the lowest structure with this stoichiometry, eV/f.u.: 0.183
Calculated formation energy, meV per atom: 369
Energy, eV per cell: -19.2

Cell: 16.749 4.009 10.673 Å, 90.00 104.31 90.00°
Space group Cm (No. 8)
Asymmetric unit:
K: 0.000 0.000 0.000 [2 per cell]
K: 0.061 0.000 0.653 [2 per cell]
K: 0.182 0.500 0.379 [2 per cell]
K: 0.248 0.500 0.950 [2 per cell]
K: 0.401 0.000 0.326 [2 per cell]
Sc: 0.343 0.000 0.680 [2 per cell]

=====

21.
The following is a PBE calculation of a geometry-optimized KSc3 structure, from Alexandria via LeMat-Bulk.

Output
Crystal system: tetragonal
DOS(E_F), states/eV/f.u.: 7.79
Calculated formation energy, meV per atom: 645
Energy, eV per cell: -17.5

Cell: 5.838 5.838 3.407 Å, 90.00 90.00 90.00°
Space group P4/mmm (No. 123)
Asymmetric unit:
K: 0.000 0.000 0.000 [1 per cell]
Sc: 0.000 0.500 0.500 [2 per cell]
Sc: 0.500 0.500 0.000 [1 per cell]

=====

22.
The following is a PBE calculation of a geometry-optimized K3Sc structure, from Alexandria via LeMat-Bulk.

Output
Crystal system: orthorhombic
DOS(E_F), states/eV/f.u.: 5.83
Energy above the lowest structure with this stoichiometry, eV/f.u.: 0.364
Calculated formation energy, meV per atom: 554
Energy, eV per cell: -14.8

Cell: 3.884 7.311 14.796 Å, 90.00 90.00 90.00°
Space group Immm (No. 71)
Asymmetric unit:
K: 0.000 0.000 0.000 [2 per cell]
K: 0.000 0.500 0.232 [4 per cell]
Sc: 0.000 0.000 0.500 [2 per cell]

=====

23.
The following is a PBE calculation of a geometry-optimized KSc5 structure, from Alexandria via LeMat-Bulk.

Output
Crystal system: hexagonal
DOS(E_F), states/eV/f.u.: 14.82
Energy above the lowest structure with this stoichiometry, eV/f.u.: 2.049
Calculated formation energy, meV per atom: 579
Energy, eV per cell: -29.3

Cell: 6.3701 6.3701 5.3294 Å, 90.00 90.00 120.00°
Space group P6/mmm (No. 191)
Asymmetric unit:
K: 0.0000 0.0000 0.0000 [1 per cell]
Sc: 0.0000 0.5000 0.5000 [3 per cell]
Sc: 0.3333 0.6667 0.0000 [2 per cell]

=====

24.
The following is a PBE calculation of a geometry-optimized KSc structure, from Alexandria via LeMat-Bulk.

Output
Crystal system: tetragonal
DOS(E_F), states/eV/f.u.: 2.96
Calculated formation energy, meV per atom: 428
Energy, eV per cell: -52.6

Cell: 14.114 14.114 3.498 Å, 90.00 90.00 90.00°
Space group P4/m (No. 83)
Asymmetric unit:
K: 0.118 0.820 0.000 [4 per cell]
K: 0.328 0.372 0.500 [4 per cell]
Sc: 0.069 0.373 0.000 [4 per cell]
Sc: 0.096 0.551 0.500 [4 per cell]

=====

25.
The following is a PBE calculation of a geometry-optimized KSc2 structure, from Alexandria via LeMat-Bulk.

Output
Crystal system: orthorhombic
DOS(E_F), states/eV/f.u.: 4.43
Calculated formation energy, meV per atom: 681
Energy, eV per cell: -46.9

Cell: 7.002 5.707 9.604 Å, 90.00 90.00 90.00°
Space group Pnma (No. 62)
Asymmetric unit:
K: 0.002 0.250 0.097 [4 per cell]
Sc: 0.001 0.250 0.460 [4 per cell]
Sc: 0.249 0.750 0.251 [4 per cell]

=====

26.
The following is a PBE calculation of a geometry-optimized K2Sc structure, from Alexandria via LeMat-Bulk.

Output
Crystal system: monoclinic
DOS(E_F), states/eV/f.u.: 4.19
Energy above the lowest structure with this stoichiometry, eV/f.u.: 0.249
Calculated formation energy, meV per atom: 555
Energy, eV per cell: -27.4

Cell: 19.751 3.724 8.640 Å, 90.00 105.85 90.00°
Space group C2/m (No. 12)
Asymmetric unit:
K: 0.117 0.000 0.070 [4 per cell]
K: 0.170 0.000 0.619 [4 per cell]
Sc: 0.004 0.500 0.340 [4 per cell]

=====

27.
The following is a PBE calculation of a geometry-optimized K3Sc structure, from Alexandria via LeMat-Bulk.

Output
Crystal system: tetragonal
DOS(E_F), states/eV/f.u.: 5.74
Energy above the lowest structure with this stoichiometry, eV/f.u.: 0.043
Calculated formation energy, meV per atom: 474
Energy, eV per cell: -7.7

Cell: 3.872 3.872 13.823 Å, 90.00 90.00 90.00°
Space group P4/mmm (No. 123)
Asymmetric unit:
K: 0.000 0.000 0.000 [1 per cell]
K: 0.500 0.500 0.286 [2 per cell]
Sc: 0.000 0.000 0.500 [1 per cell]